(1)
Li2PWO4F: relaxed, PBE with a Hubbard U.

Lattice parameters (Å, degrees): 5.530 5.747 7.661 71.54 73.41 81.62
Positions (direct):
Li 0.000 0.000 0.000
Li 0.056 0.816 0.731
Li 0.144 0.236 0.441
Li 0.475 0.975 0.303
P 0.202 0.410 0.002
P 0.961 0.732 0.408
W 0.591 0.511 0.224
W 0.607 0.214 0.605
O 0.207 0.688 0.940
O 0.247 0.737 0.306
O 0.308 0.294 0.837
O 0.350 0.295 0.165
O 0.797 0.784 0.262
O 0.905 0.475 0.555
O 0.905 0.944 0.502
O 0.928 0.320 0.094
F 0.352 0.985 0.574
F 0.783 0.999 0.849

Calculated total energy ... -112.9 eV/cell
SG ... No. 1

***

(2)
Li2PWO4F: relaxed, PBE with a Hubbard U.

Lattice parameters (Å, degrees): 5.191 5.851 7.704 75.00 77.61 83.03
Positions (direct):
Li 0.000 0.000 0.000
Li 0.085 0.359 0.281
Li 0.518 0.231 0.035
Li 0.694 0.267 0.591
P 0.280 0.034 0.636
P 0.578 0.663 0.203
W 0.004 0.522 0.797
W 0.922 0.780 0.450
O 0.091 0.081 0.494
O 0.174 0.838 0.809
O 0.275 0.640 0.274
O 0.297 0.269 0.690
O 0.565 0.971 0.548
O 0.660 0.919 0.158
O 0.661 0.550 0.036
O 0.736 0.520 0.359
F 0.149 0.244 0.070
F 0.784 0.225 0.827

Calculated total energy ... -113.8 eV/cell
SG ... No. 1

***

| no. | N(E_F) (states/eV per cell) |
| --- | --- |
| 1 | 0.0 |
| 2 | 0.0 |